# KPOs, relaxed, DFT PBE-GGA
data_KPOs
_space_group_name_H-M_alt 'F -4 3 m'
_space_group_IT_number 216
_space_group_name_Hall 'F -4 2 3'
_cell_length_a 6.713
_cell_length_b 6.713
_cell_length_c 6.713
_cell_angle_alpha 90.00
_cell_angle_beta 90.00
_cell_angle_gamma 90.00
loop_
_atom_site_label
_atom_site_type_symbol
_atom_site_fract_x
_atom_site_fract_y
_atom_site_fract_z
K1 K 0.000 0.000 0.000
P1 P 0.250 0.250 0.250
Os1 Os 0.250 0.250 0.750
# energy relative to the elements: 58.67 kcal/mol of atoms
# density of states at the Fermi level: 28.57 states/eV/cell
# VASP energy: -3.368 eV per atom

# K2POs, relaxed, DFT PBE-GGA
data_K2POs
_space_group_name_H-M_alt 'P 4/m m m'
_space_group_IT_number 123
_space_group_name_Hall '-P 4 2'
_cell_length_a 6.336
_cell_length_b 6.336
_cell_length_c 2.559
_cell_angle_alpha 90.00
_cell_angle_beta 90.00
_cell_angle_gamma 90.00
loop_
_atom_site_label
_atom_site_type_symbol
_atom_site_fract_x
_atom_site_fract_y
_atom_site_fract_z
K1 K 0.000 0.500 0.000
P1 P 0.000 0.000 0.500
Os1 Os 0.500 0.500 0.500
# energy above the lowest structure with this stoichiometry: 1.0590 eV/atom
# energy relative to the elements: 24.94 kcal/mol of atoms
# density of states at the Fermi level: 3.52 states/eV/cell
# VASP energy: -3.627 eV per atom

# K2POs, relaxed, DFT PBE-GGA
data_K2POs
_space_group_name_H-M_alt 'P m m m'
_space_group_IT_number 47
_cell_length_a 2.729
_cell_length_b 5.352
_cell_length_c 5.556
_cell_angle_alpha 90.00
_cell_angle_beta 90.00
_cell_angle_gamma 90.00
loop_
_space_group_symop_operation_xyz
'x,y,z'
'-x,-y,-z'
'-x,-y,z'
'x,y,-z'
'x,-y,-z'
'-x,y,z'
'-x,y,-z'
'x,-y,z'
loop_
_atom_site_label
_atom_site_type_symbol
_atom_site_fract_x
_atom_site_fract_y
_atom_site_fract_z
K1 K 0.000 0.000 0.247
P1 P 0.500 0.500 0.000
Os1 Os 0.500 0.500 0.500
# energy above the lowest structure with this stoichiometry: 0.8852 eV/atom
# energy relative to the elements: 20.93 kcal/mol of atoms
# density of states at the Fermi level: 1.69 states/eV/cell
# VASP energy: -3.801 eV per atom

# KPOs3, relaxed, DFT PBE-GGA
data_KPOs3
_space_group_name_H-M_alt 'P m -3 m'
_space_group_IT_number 221
_space_group_name_Hall '-P 4 2 3'
_cell_length_a 4.503
_cell_length_b 4.503
_cell_length_c 4.503
_cell_angle_alpha 90.00
_cell_angle_beta 90.00
_cell_angle_gamma 90.00
loop_
_atom_site_label
_atom_site_type_symbol
_atom_site_fract_x
_atom_site_fract_y
_atom_site_fract_z
K1 K 0.000 0.000 0.000
P1 P 0.500 0.500 0.500
Os1 Os 0.000 0.500 0.500
# energy above the lowest structure with this stoichiometry: 0.0000 eV/atom
# energy relative to the elements: 27.99 kcal/mol of atoms
# density of states at the Fermi level: 4.64 states/eV/cell
# VASP energy: -6.826 eV per atom

# KPOs2, relaxed, DFT PBE-GGA
data_KPOs2
_space_group_name_H-M_alt 'C 1 m 1'
_space_group_IT_number 8
_cell_length_a 9.290
_cell_length_b 2.900
_cell_length_c 6.574
_cell_angle_alpha 90.00
_cell_angle_beta 103.16
_cell_angle_gamma 90.00
loop_
_space_group_symop_operation_xyz
'x,y,z'
'x,-y,z'
'x+1/2,y+1/2,z'
'x+1/2,-y+1/2,z'
loop_
_atom_site_label
_atom_site_type_symbol
_atom_site_fract_x
_atom_site_fract_y
_atom_site_fract_z
K1 K 0.000 0.000 0.000
P1 P 0.283 0.500 0.330
Os1 Os 0.214 0.000 0.576
Os2 Os 0.481 0.000 0.508
# energy above the lowest structure with this stoichiometry: 0.0000 eV/atom
# energy relative to the elements: 9.01 kcal/mol of atoms
# density of states at the Fermi level: 3.49 states/eV/cell
# VASP energy: -6.851 eV per atom

# KPOs2, relaxed, DFT PBE-GGA
data_KPOs2
_space_group_name_H-M_alt 'C m m m'
_space_group_IT_number 65
_space_group_name_Hall '-C 2 2'
_cell_length_a 2.976
_cell_length_b 5.014
_cell_length_c 9.328
_cell_angle_alpha 90.00
_cell_angle_beta 90.00
_cell_angle_gamma 90.00
loop_
_atom_site_label
_atom_site_type_symbol
_atom_site_fract_x
_atom_site_fract_y
_atom_site_fract_z
K1 K 0.000 0.000 0.000
P1 P 0.000 0.000 0.500
Os1 Os 0.000 0.500 0.314
# energy above the lowest structure with this stoichiometry: 0.3780 eV/atom
# energy relative to the elements: 17.73 kcal/mol of atoms
# density of states at the Fermi level: 6.34 states/eV/cell
# VASP energy: -6.473 eV per atom

Question: What is the energy relative to the elements in the sixth record?
Answer: 17.73 kcal/mol of atoms

Question: Among the records above, which one has the highest energy relative to the elements?
Answer: KPOs

Question: Among the records above, which one has the highest VASP energy?
Answer: KPOs